ZrNiF2 | GGA+U | optimized geometry

Values from the calculation:
The magnetic moment comes out at 0.2567 μB/atom. The value obtained for the total energy is -0.1947 hartree per atom.

Cell: 8.3253 8.3253 8.3253 Å, 20.12 20.12 20.12°
Site moments in Bohr magnetons follow the coordinates.
Atoms (fractional coordinates):
1 Ni 0.0000 0.0000 0.0000  1.02
2 Zr 0.5000 0.5000 0.5000  0.00
3 F 0.8969 0.8969 0.8969  0.00
4 F 0.1031 0.1031 0.1031  0.00